TbSm3Ho4, optimized geometry, DFT PBE; energy relative to the elements = 0.018 eV per atom; symmetry = Pmn2_1, No. 31; D(E_F) = 14.1 states/eV/f.u.; energy = -4.619 eV/atom; energy above the lowest structure with this stoichiometry = 0.0000 eV/atom
1.0
6.292 0.000 0.000
0.000 7.284 0.000
0.000 0.000 11.368
Ho Tb Sm
8 2 6
Cartesian
4.078 0.891 0.000
6.171 0.893 8.536
3.025 6.390 8.516
0.932 6.393 5.684
3.025 6.390 2.852
6.171 0.893 2.832
4.079 0.896 5.684
0.933 6.387 0.000
4.073 4.574 5.684
0.927 2.709 0.000
0.929 2.718 5.684
6.174 4.564 8.526
3.028 2.719 8.526
6.174 4.564 2.842
4.075 4.565 0.000
3.028 2.719 2.842

=====

Tb8Sm3Ho, optimized geometry, DFT PBE; energy relative to the elements = 0.016 eV per atom; symmetry = Cm, No. 8; D(E_F) = 20.3 states/eV/f.u.; energy = -4.632 eV/atom
1.0
9.627 -1.269 -5.018
-5.669 6.313 -0.569
-1.848 0.239 8.297
Tb Ho Sm
8 1 3
Cartesian
3.616 0.919 2.726
0.165 4.624 3.097
3.910 1.349 -0.761
0.712 1.761 0.899
6.826 0.475 1.065
4.909 3.523 -3.383
7.118 0.914 -2.441
1.713 3.945 -1.691
3.351 4.193 1.428
0.398 1.335 4.408
-1.511 4.369 -0.021
-3.051 5.036 4.765

=====

Tb5Sm4Ho, optimized geometry, DFT PBE; energy relative to the elements = 0.182 eV per atom; symmetry = C2/m, No. 12; D(E_F) = 13.5 states/eV/f.u.; energy = -4.478 eV/atom; energy above the lowest structure with this stoichiometry = 0.0000 eV/atom
1.0
-2.019 -0.711 -2.821
8.865 -4.058 -5.322
-0.665 -7.496 4.586
Tb Sm Ho
5 4 1
Cartesian
7.817 -6.567 -3.941
4.330 -4.978 -1.844
1.851 -7.287 -1.714
3.423 -2.384 -4.072
-1.637 -5.698 0.383
5.488 -8.475 -1.793
-0.375 -8.761 0.251
0.692 -3.790 -1.765
6.556 -3.504 -3.808
-1.009 -0.356 -1.411